[1]
Compound: BaGaIN2
Source: the Alexandria database
Functional: PBE-GGA
Structure: relaxed

The structure in POSCAR format:
```
BaGaIN2
1.0
-1.807 3.815 1.530
-1.430 -2.150 3.674
4.716 1.213 2.546
I Ba Ga N
1 1 1 2
Direct
0.000 0.000 0.500
0.500 0.500 0.500
0.000 0.000 0.000
0.000 0.500 0.000
0.500 0.000 0.000
```

Properties
space-group type: P4/mmm (123)
crystal system: tetragonal
density: 5.4 g/cm3
uncorrected formation energy: 0.60 eV/atom
spin magnetization: 2.1 Bohr magnetons per cell
energy relative to the lowest polymorph listed for this composition: 0.000 eV/atom

---

[2]
Compound: Ca2PrPd
Source: the Alexandria database
Functional: PBE-GGA
Structure: relaxed

The structure in POSCAR format:
```
Ca2PrPd
1.0
-5.008 0.068 4.257
4.806 -1.789 5.683
1.583 9.681 1.709
Ca Pr Pd
8 4 4
Direct
0.162 0.678 0.065
0.338 0.178 0.435
0.838 0.322 0.565
0.662 0.822 0.935
0.838 0.322 0.935
0.662 0.822 0.565
0.162 0.678 0.435
0.338 0.178 0.065
0.640 0.539 0.250
0.860 0.039 0.250
0.360 0.461 0.750
0.140 0.961 0.750
0.050 0.382 0.250
0.450 0.882 0.250
0.950 0.618 0.750
0.550 0.118 0.750
```

Properties
ΔE_f: -1.55 eV/f.u.
space-group type: Pnma (62)
crystal system: orthorhombic
density: 4.3 g/cm3
spin magnetization: 0.0 Bohr magnetons per cell
energy relative to the lowest polymorph listed for this composition: 0.000 eV/atom